No. 1
The following is a DFT calculation (PBE-GGA) of a geometry-optimized K2AcTiO4 structure.

Results
ΔE_f (raw) ... -2.467 eV per atom
SG ... Pmn2_1, No. 31
Total DFT energy (no corrections) ... -6.721 eV/atom

Cell and atoms, written as CIF:
```
data_K2AcTiO4
_chemical_formula_sum 'K4 Ac2 Ti2 O8'
_symmetry_space_group_name_H-M 'P 1'
_symmetry_Int_Tables_number 1
_cell_length_a 7.8559
_cell_length_b 9.7759
_cell_length_c 5.1127
_cell_angle_alpha 90.00
_cell_angle_beta 90.00
_cell_angle_gamma 90.00
loop_
_symmetry_equiv_pos_as_xyz
'x,y,z'
loop_
_atom_site_label
_atom_site_type_symbol
_atom_site_fract_x
_atom_site_fract_y
_atom_site_fract_z
_atom_site_occupancy
K1 K 0.2207 0.1802 0.0000 1
K2 K 0.2793 0.8198 0.5000 1
K3 K 0.7207 0.8198 0.5000 1
K4 K 0.7793 0.1802 0.0000 1
Ac1 Ac 0.0000 0.6247 0.9968 1
Ac2 Ac 0.5000 0.3753 0.4968 1
Ti1 Ti 0.0000 0.3818 0.4497 1
Ti2 Ti 0.5000 0.6182 0.9497 1
O1 O 0.0000 0.3872 0.0926 1
O2 O 0.0000 0.5710 0.5151 1
O3 O 0.2032 0.2987 0.5323 1
O4 O 0.2968 0.7013 0.0323 1
O5 O 0.5000 0.4290 0.0151 1
O6 O 0.5000 0.6128 0.5926 1
O7 O 0.7032 0.7013 0.0323 1
O8 O 0.7968 0.2987 0.5323 1
```

No. 2
The following is a DFT calculation (PBE-GGA) of a geometry-optimized KAc2TiO6 structure.

Results
ΔE_f (raw) ... -2.776 eV per atom
SG ... P2_1/c, No. 14
Total DFT energy (no corrections) ... -7.472 eV/atom

Cell and atoms, written as CIF:
```
data_KAc2TiO6
_chemical_formula_sum 'K2 Ac4 Ti2 O12'
_symmetry_space_group_name_H-M 'P 1'
_symmetry_Int_Tables_number 1
_cell_length_a 5.8534
_cell_length_b 6.4024
_cell_length_c 10.2299
_cell_angle_alpha 90.00
_cell_angle_beta 123.32
_cell_angle_gamma 90.00
loop_
_symmetry_equiv_pos_as_xyz
'x,y,z'
loop_
_atom_site_label
_atom_site_type_symbol
_atom_site_fract_x
_atom_site_fract_y
_atom_site_fract_z
_atom_site_occupancy
K1 K 0.0000 0.0000 0.0000 1
K2 K 0.0000 0.5000 0.5000 1
Ac1 Ac 0.2194 0.0560 0.7340 1
Ac2 Ac 0.2194 0.4440 0.2340 1
Ac3 Ac 0.7806 0.5560 0.7660 1
Ac4 Ac 0.7806 0.9440 0.2660 1
Ti1 Ti 0.5000 0.0000 0.5000 1
Ti2 Ti 0.5000 0.5000 0.0000 1
O1 O 0.1765 0.1493 0.4646 1
O2 O 0.1765 0.3507 0.9646 1
O3 O 0.2587 0.7437 0.4045 1
O4 O 0.2587 0.7563 0.9045 1
O5 O 0.4164 0.0877 0.2919 1
O6 O 0.4164 0.4123 0.7919 1
O7 O 0.5836 0.5877 0.2081 1
O8 O 0.5836 0.9123 0.7081 1
O9 O 0.7413 0.2437 0.0955 1
O10 O 0.7413 0.2563 0.5955 1
O11 O 0.8235 0.6493 0.0354 1
O12 O 0.8235 0.8507 0.5354 1
```

No. 3
The following is a DFT calculation (PBE-GGA) of a geometry-optimized KAcTi2O6 structure.

Results
ΔE_f (raw) ... -2.977 eV per atom
SG ... C2/c, No. 15
Total DFT energy (no corrections) ... -8.051 eV/atom

Cell and atoms, written as CIF:
```
data_KAcTi2O6
_chemical_formula_sum 'K2 Ac2 Ti4 O12'
_symmetry_space_group_name_H-M 'P 1'
_symmetry_Int_Tables_number 1
_cell_length_a 7.6999
_cell_length_b 7.6999
_cell_length_c 5.8859
_cell_angle_alpha 97.38
_cell_angle_beta 97.38
_cell_angle_gamma 89.65
loop_
_symmetry_equiv_pos_as_xyz
'x,y,z'
loop_
_atom_site_label
_atom_site_type_symbol
_atom_site_fract_x
_atom_site_fract_y
_atom_site_fract_z
_atom_site_occupancy
K1 K 0.0843 0.9157 0.7500 1
K2 K 0.9157 0.0843 0.2500 1
Ac1 Ac 0.3015 0.6985 0.2500 1
Ac2 Ac 0.6985 0.3015 0.7500 1
Ti1 Ti 0.2040 0.3814 0.7190 1
Ti2 Ti 0.3814 0.2040 0.2190 1
Ti3 Ti 0.6186 0.7960 0.7810 1
Ti4 Ti 0.7960 0.6186 0.2810 1
O1 O 0.0067 0.2541 0.6794 1
O2 O 0.1647 0.5925 0.8540 1
O3 O 0.2541 0.0067 0.1794 1
O4 O 0.2984 0.3863 0.4321 1
O5 O 0.3863 0.2984 0.9321 1
O6 O 0.4075 0.8353 0.6460 1
O7 O 0.5925 0.1647 0.3540 1
O8 O 0.6137 0.7016 0.0679 1
O9 O 0.7016 0.6137 0.5679 1
O10 O 0.7459 0.9933 0.8206 1
O11 O 0.8353 0.4075 0.1460 1
O12 O 0.9933 0.7459 0.3206 1
```

No. 4
The following is a DFT calculation (PBE-GGA) of a geometry-optimized K4Ac3TiO8 structure.

Results
ΔE_f (raw) ... -2.386 eV per atom
SG ... R-3m, No. 166
Total DFT energy (no corrections) ... -6.403 eV/atom

Cell and atoms, written as CIF:
```
data_K4Ac3TiO8
_chemical_formula_sum 'K4 Ac3 Ti1 O8'
_symmetry_space_group_name_H-M 'P 1'
_symmetry_Int_Tables_number 1
_cell_length_a 7.6614
_cell_length_b 7.6614
_cell_length_c 7.6614
_cell_angle_alpha 57.14
_cell_angle_beta 57.14
_cell_angle_gamma 57.14
loop_
_symmetry_equiv_pos_as_xyz
'x,y,z'
loop_
_atom_site_label
_atom_site_type_symbol
_atom_site_fract_x
_atom_site_fract_y
_atom_site_fract_z
_atom_site_occupancy
K1 K 0.0000 0.0000 0.0000 1
K2 K 0.0000 0.5000 0.5000 1
K3 K 0.5000 0.0000 0.5000 1
K4 K 0.5000 0.5000 0.0000 1
Ac1 Ac 0.0000 0.0000 0.5000 1
Ac2 Ac 0.0000 0.5000 0.0000 1
Ac3 Ac 0.5000 0.0000 0.0000 1
Ti1 Ti 0.5000 0.5000 0.5000 1
O1 O 0.2379 0.2379 0.2379 1
O2 O 0.2818 0.6971 0.6971 1
O3 O 0.3029 0.3029 0.7182 1
O4 O 0.3029 0.7182 0.3029 1
O5 O 0.6971 0.2818 0.6971 1
O6 O 0.6971 0.6971 0.2818 1
O7 O 0.7182 0.3029 0.3029 1
O8 O 0.7621 0.7621 0.7621 1
```